## TcOs2Cl (PBE)

Data for crystalline TcOs2Cl at its relaxed geometry.

Summary:
The value obtained for the energy relative to the lowest polymorph listed for this composition is 39.0 kJ per mole of atoms. Its crystal system is orthorhombic. The final energy is -0.5748 Ry/atom. As for the density of states at the Fermi level: 9.92 states/eV per cell. The energy relative to the elements, uncorrected is 3.4 eV/f.u.

Cell lengths 2.7804, 4.8632, 9.0957 Å; angles 90.00, 90.00, 90.00 degrees
Space group Cmmm (No. 65)
Unique sites:
Tc1 0.0000 0.0000 0.0000 (multiplicity 2)
Os1 0.0000 0.5000 0.2429 (multiplicity 4)
Cl1 0.0000 0.0000 0.5000 (multiplicity 2)

## AlCuCl2 (PBE)

Data for crystalline AlCuCl2 at its relaxed geometry.

Summary:
The value obtained for the energy relative to the lowest polymorph listed for this composition is 39.3 kJ per mole of atoms. Its crystal system is monoclinic. The final energy is -0.2294 Ry/atom. The energy relative to the elements, uncorrected is -1.0 eV/f.u.

Cell lengths 3.7181, 3.4495, 7.0597 Å; angles 90.00, 96.14, 90.00 degrees
Space group P2/m (No. 10)
Unique sites:
Al1 0.0000 0.0000 0.0000 (multiplicity 1)
Cu1 0.5000 0.0000 0.5000 (multiplicity 1)
Cl1 0.4343 0.5000 0.7284 (multiplicity 2)

## BaCd4Pb (PBE)

Data for crystalline BaCd4Pb at its relaxed geometry.

Summary:
The value obtained for the energy relative to the lowest polymorph listed for this composition is 0.0 kJ per mole of atoms. The formation energy comes out at -1.10 eV per formula unit. Its crystal system is cubic. The final energy is -0.1273 Ry/atom. As for the density of states at the Fermi level: 15.12 states/eV per cell.

Cell lengths 8.8301, 8.8301, 8.8301 Å; angles 90.00, 90.00, 90.00 degrees
Space group F-43m (No. 216)
Unique sites:
Ba1 0.0000 0.0000 0.0000 (multiplicity 4)
Cd1 0.1246 0.1246 0.6246 (multiplicity 16)
Pb1 0.2500 0.2500 0.2500 (multiplicity 4)